(1)
A plane-wave DFT calculation with GGA-PBEsol was carried out for an optimized crystal structure of Fe2SbCl.

Unit cell a=3.5464 b=3.5464 c=20.5852 alpha=90.00 beta=90.00 gamma=120.00
Closest atoms and distances in Å follow each position.
Space group R3m (No. 160, hexagonal axes)
Asymmetric unit:
Fe: 0.0000 0.0000 0.0000 [3 per cell]  3 Fe 2.16
Fe: 0.0000 0.0000 0.2999 [3 per cell]  3 Fe 2.16
Sb: 0.0000 0.0000 0.7428 [3 per cell]  3 Fe 2.58
Cl: 0.0000 0.0000 0.5632 [3 per cell]  3 Fe 2.50

Summary:
Calculated volume   224.21 Å³/cell
Energy relative to the elements, uncorrected   0.96 eV/f.u.
Electronic total energy   -23.5 eV/f.u.



(2)
A plane-wave DFT calculation with GGA-PBEsol was carried out for an optimized crystal structure of Fe2SbCl.

Unit cell a=3.4100 b=3.4248 c=6.6248 alpha=90.00 beta=90.00 gamma=90.00
Closest atoms and distances in Å follow each position.
Space group Pmm2 (No. 25)
Asymmetric unit:
Fe: 0.0000 0.0000 0.0000 [1 per cell]  2 Cl 2.40, 4 Fe 2.42, 2 Sb 2.61
Fe: 0.5000 0.5000 0.0007 [1 per cell]  2 Cl 2.39, 4 Fe 2.42, 2 Sb 2.61
Sb: 0.5000 0.0000 0.2988 [1 per cell]  4 Fe 2.61
Cl: 0.0000 0.5000 0.7472 [1 per cell]  4 Fe 2.39-2.40

Summary:
Calculated volume   77.37 Å³/cell
Energy relative to the elements, uncorrected   0.02 eV/f.u.
Electronic total energy   -24.5 eV/f.u.



(3)
A plane-wave DFT calculation with GGA-PBEsol was carried out for an optimized crystal structure of FeSbCl2.

Unit cell a=6.0963 b=8.4196 c=3.0956 alpha=90.00 beta=90.00 gamma=90.00
Closest atoms and distances in Å follow each position.
Space group Cmmm (No. 65)
Asymmetric unit:
Fe: 0.0000 0.0000 0.0000 [2 per cell]  8 Cl 3.02, 2 Sb 3.05, 2 Fe 3.10
Sb: 0.0000 0.5000 0.0000 [2 per cell]  8 Cl 3.02, 2 Fe 3.05, 2 Sb 3.10
Cl: 0.2500 0.2500 0.5000 [4 per cell]  4 Fe 3.02, 4 Sb 3.02, 4 Cl 3.05-3.10

Summary:
Calculated volume   158.89 Å³/cell
Energy relative to the elements, uncorrected   1.65 eV/f.u.
Electronic total energy   -15.9 eV/f.u.



(4)
A plane-wave DFT calculation with GGA-PBEsol was carried out for an optimized crystal structure of Fe2SbCl.

Unit cell a=3.5914 b=3.5914 c=10.2519 alpha=90.00 beta=90.00 gamma=90.00
Closest atoms and distances in Å follow each position.
Space group I-4m2 (No. 119)
Asymmetric unit:
Fe: 0.0000 0.0000 0.0000 [2 per cell]  4 Sb 2.54
Fe: 0.0000 0.5000 0.2500 [2 per cell]  4 Cl 2.54
Sb: 0.0000 0.0000 0.5000 [2 per cell]  4 Fe 2.54
Cl: 0.0000 0.5000 0.7500 [2 per cell]  4 Fe 2.54

Summary:
Calculated volume   132.23 Å³/cell
Energy relative to the elements, uncorrected   2.43 eV/f.u.
Electronic total energy   -22.1 eV/f.u.



(5)
A plane-wave DFT calculation with GGA-PBEsol was carried out for an optimized crystal structure of FeSbCl3.

Unit cell a=5.3010 b=5.3010 c=5.3010 alpha=90.00 beta=90.00 gamma=90.00
Closest atoms and distances in Å follow each position.
Space group Pm-3m (No. 221)
Asymmetric unit:
Fe: 0.0000 0.0000 0.0000 [1 per cell]  12 Cl 3.75
Sb: 0.5000 0.5000 0.5000 [1 per cell]  6 Cl 2.65
Cl: 0.0000 0.5000 0.5000 [3 per cell]  2 Sb 2.65

Summary:
Calculated volume   148.97 Å³/cell
Energy relative to the elements, uncorrected   1.78 eV/f.u.
Electronic total energy   -17.8 eV/f.u.



(6)
A plane-wave DFT calculation with GGA-PBEsol was carried out for an optimized crystal structure of ScFeCl2.

Unit cell a=12.4705 b=3.3323 c=4.0438 alpha=90.00 beta=93.20 gamma=90.00
Closest atoms and distances in Å follow each position.
Space group C2/m (No. 12)
Asymmetric unit:
Sc: 0.0000 0.0000 0.0000 [2 per cell]  4 Cl 2.58, 4 Fe 2.62
Fe: 0.0000 0.5000 0.5000 [2 per cell]  2 Cl 2.17
Cl: 0.1443 0.5000 0.2232 [4 per cell]  1 Fe 2.17

Summary:
Calculated volume   167.78 Å³/cell
Energy relative to the elements, uncorrected   -3.15 eV/f.u.
Electronic total energy   -22.7 eV/f.u.



(7)
A plane-wave DFT calculation with GGA-PBEsol was carried out for an optimized crystal structure of ScFeCl2.

Unit cell a=3.0883 b=3.9616 c=5.5434 alpha=90.00 beta=90.00 gamma=90.00
Closest atoms and distances in Å follow each position.
Space group Pmmm (No. 47)
Asymmetric unit:
Sc: 0.0000 0.0000 0.0000 [1 per cell]  4 Cl 2.51
Fe: 0.5000 0.0000 0.5000 [1 per cell]  4 Cl 2.51
Cl: 0.0000 0.5000 0.5000 [1 per cell]  4 Fe 2.51
Cl: 0.5000 0.5000 0.0000 [1 per cell]  4 Sc 2.51

Summary:
Calculated volume   67.82 Å³/cell
Energy relative to the elements, uncorrected   -1.76 eV/f.u.
Electronic total energy   -21.3 eV/f.u.



(8)
A plane-wave DFT calculation with GGA-PBEsol was carried out for an optimized crystal structure of ScFeCl2.

Unit cell a=3.1266 b=3.1266 c=7.5562 alpha=90.00 beta=90.00 gamma=90.00
Closest atoms and distances in Å follow each position.
Space group P4mm (No. 99)
Asymmetric unit:
Sc: 0.0000 0.0000 0.0000 [1 per cell]  5 Cl 2.71-2.93, 4 Fe 2.88
Fe: 0.5000 0.5000 0.7563 [1 per cell]  4 Cl 2.47
Cl: 0.0000 0.0000 0.6117 [1 per cell]  4 Fe 2.47
Cl: 0.5000 0.5000 0.2079 [1 per cell]  4 Sc 2.71

Summary:
Calculated volume   73.87 Å³/cell
Energy relative to the elements, uncorrected   -3.02 eV/f.u.
Electronic total energy   -22.6 eV/f.u.